# GGA-PBE Sn5BiTe4, relaxed
# DOS(E_F)	0.35	states/eV per atom
data_Sn5BiTe4
_chemical_formula_sum 'Sn10 Bi2 Te8'
_cell_length_a 4.493
_cell_length_b 4.493
_cell_length_c 32.179
_cell_angle_alpha 90.00
_cell_angle_beta 90.00
_cell_angle_gamma 90.00
_space_group_name_H-M_alt 'I 4/m m m'
_space_group_IT_number 139
_space_group_name_Hall '-I 4 2'
loop_
_atom_site_label
_atom_site_type_symbol
_atom_site_fract_x
_atom_site_fract_y
_atom_site_fract_z
Sn1 Sn 0.000 0.000 0.000
Sn2 Sn 0.000 0.000 0.200
Sn3 Sn 0.000 0.000 0.400
Bi1 Bi 0.000 0.000 0.500
Te1 Te 0.000 0.000 0.101
Te2 Te 0.000 0.000 0.300

***

# GGA-PBE SnBi2Te, relaxed
# DOS(E_F)	0.19	states/eV per atom
data_SnBi2Te
_chemical_formula_sum 'Sn2 Bi4 Te2'
_cell_length_a 4.542
_cell_length_b 4.617
_cell_length_c 13.189
_cell_angle_alpha 90.00
_cell_angle_beta 95.73
_cell_angle_gamma 90.00
_space_group_name_H-M_alt 'P 1 21/m 1'
_space_group_IT_number 11
_space_group_name_Hall '-P 2yb'
loop_
_atom_site_label
_atom_site_type_symbol
_atom_site_fract_x
_atom_site_fract_y
_atom_site_fract_z
Sn1 Sn 0.201 0.250 0.391
Bi1 Bi 0.198 0.250 0.901
Bi2 Bi 0.311 0.250 0.136
Te1 Te 0.288 0.250 0.621

***

# GGA-PBE SnBi2Te, relaxed
# DOS(E_F)	0.43	states/eV per atom
data_SnBi2Te
_chemical_formula_sum 'Sn3 Bi6 Te3'
_cell_length_a 4.5379
_cell_length_b 4.5379
_cell_length_c 22.2225
_cell_angle_alpha 90.00
_cell_angle_beta 90.00
_cell_angle_gamma 120.00
_space_group_name_H-M_alt 'R -3 m'
_space_group_IT_number 166
_space_group_name_Hall '-R 3 2"'
loop_
_atom_site_label
_atom_site_type_symbol
_atom_site_fract_x
_atom_site_fract_y
_atom_site_fract_z
Sn1 Sn 0.0000 0.0000 0.0000
Bi1 Bi 0.0000 0.0000 0.2553
Te1 Te 0.0000 0.0000 0.5000

***

# GGA-PBE SnBi3Te6, relaxed
# DOS(E_F)	0.50	states/eV per atom
data_SnBi3Te6
_chemical_formula_sum 'Sn2 Bi6 Te12'
_cell_length_a 13.371
_cell_length_b 4.381
_cell_length_c 13.706
_cell_angle_alpha 90.00
_cell_angle_beta 113.48
_cell_angle_gamma 90.00
_space_group_name_H-M_alt 'P 1 21/m 1'
_space_group_IT_number 11
_space_group_name_Hall '-P 2yb'
loop_
_atom_site_label
_atom_site_type_symbol
_atom_site_fract_x
_atom_site_fract_y
_atom_site_fract_z
Sn1 Sn 0.023 0.250 0.281
Bi1 Bi 0.160 0.750 0.095
Bi2 Bi 0.285 0.250 0.554
Bi3 Bi 0.430 0.750 0.845
Te1 Te 0.072 0.250 0.906
Te2 Te 0.073 0.750 0.446
Te3 Te 0.239 0.250 0.272
Te4 Te 0.244 0.250 0.751
Te5 Te 0.388 0.750 0.058
Te6 Te 0.457 0.750 0.625

***

# GGA-PBE SnBi2Te2, relaxed
# DOS(E_F)	0.63	states/eV per atom
data_SnBi2Te2
_chemical_formula_sum 'Sn2 Bi4 Te4'
_cell_length_a 8.954
_cell_length_b 8.954
_cell_length_c 4.016
_cell_angle_alpha 90.00
_cell_angle_beta 90.00
_cell_angle_gamma 90.00
_space_group_name_H-M_alt 'P 4/m b m'
_space_group_IT_number 127
_space_group_name_Hall '-P 4 2ab'
loop_
_atom_site_label
_atom_site_type_symbol
_atom_site_fract_x
_atom_site_fract_y
_atom_site_fract_z
Sn1 Sn 0.000 0.000 0.000
Bi1 Bi 0.167 0.333 0.500
Te1 Te 0.151 0.651 0.000

***

# GGA-PBE SnBi2Te2, relaxed
# DOS(E_F)	0.41	states/eV per atom
data_SnBi2Te2
_chemical_formula_sum 'Sn2 Bi4 Te4'
_cell_length_a 4.405
_cell_length_b 4.405
_cell_length_c 17.501
_cell_angle_alpha 90.00
_cell_angle_beta 90.00
_cell_angle_gamma 90.00
_space_group_name_H-M_alt 'I 4/m m m'
_space_group_IT_number 139
_space_group_name_Hall '-I 4 2'
loop_
_atom_site_label
_atom_site_type_symbol
_atom_site_fract_x
_atom_site_fract_y
_atom_site_fract_z
Sn1 Sn 0.000 0.000 0.000
Bi1 Bi 0.000 0.500 0.250
Te1 Te 0.000 0.000 0.411

***

# GGA-PBE SnBiTe3, relaxed
# DOS(E_F)	0.43	states/eV per atom
data_SnBiTe3
_chemical_formula_sum 'Sn2 Bi2 Te6'
_cell_length_a 4.259
_cell_length_b 8.437
_cell_length_c 13.519
_cell_angle_alpha 90.00
_cell_angle_beta 90.00
_cell_angle_gamma 90.00
_space_group_name_H-M_alt 'A m m 2'
_space_group_IT_number 38
_space_group_name_Hall 'A 2 -2'
loop_
_atom_site_label
_atom_site_type_symbol
_atom_site_fract_x
_atom_site_fract_y
_atom_site_fract_z
Sn1 Sn 0.000 0.000 0.000
Bi1 Bi 0.500 0.000 0.459
Te1 Te 0.000 0.224 0.373
Te2 Te 0.500 0.000 0.138

***

# GGA-PBE SnBi2Te2, relaxed
# DOS(E_F)	0.70	states/eV per atom
data_SnBi2Te2
_chemical_formula_sum 'Sn2 Bi4 Te4'
_cell_length_a 6.144
_cell_length_b 6.144
_cell_length_c 9.557
_cell_angle_alpha 90.00
_cell_angle_beta 90.00
_cell_angle_gamma 90.00
_space_group_name_H-M_alt 'I 4/m m m'
_space_group_IT_number 139
_space_group_name_Hall '-I 4 2'
loop_
_atom_site_label
_atom_site_type_symbol
_atom_site_fract_x
_atom_site_fract_y
_atom_site_fract_z
Sn1 Sn 0.000 0.000 0.000
Bi1 Bi 0.000 0.000 0.331
Te1 Te 0.000 0.500 0.250

***

# GGA-PBE SnBi2Te, relaxed
# DOS(E_F)	0.65	states/eV per atom
data_SnBi2Te
_chemical_formula_sum 'Sn4 Bi8 Te4'
_cell_length_a 7.819
_cell_length_b 7.819
_cell_length_c 7.819
_cell_angle_alpha 90.00
_cell_angle_beta 90.00
_cell_angle_gamma 90.00
_space_group_name_H-M_alt 'F m -3 m'
_space_group_IT_number 225
_space_group_name_Hall '-F 4 2 3'
loop_
_atom_site_label
_atom_site_type_symbol
_atom_site_fract_x
_atom_site_fract_y
_atom_site_fract_z
Sn1 Sn 0.000 0.000 0.000
Bi1 Bi 0.250 0.250 0.250
Te1 Te 0.000 0.000 0.500

***

# GGA-PBE Sn4BiTe5, relaxed
# DOS(E_F)	0.37	states/eV per atom
data_Sn4BiTe5
_chemical_formula_sum 'Sn12 Bi3 Te15'
_cell_length_a 4.6324
_cell_length_b 4.6324
_cell_length_c 53.2776
_cell_angle_alpha 90.00
_cell_angle_beta 90.00
_cell_angle_gamma 120.00
_space_group_name_H-M_alt 'R -3 m'
_space_group_IT_number 166
_space_group_name_Hall '-R 3 2"'
loop_
_atom_site_label
_atom_site_type_symbol
_atom_site_fract_x
_atom_site_fract_y
_atom_site_fract_z
Sn1 Sn 0.0000 0.0000 0.0994
Sn2 Sn 0.0000 0.0000 0.3000
Bi1 Bi 0.0000 0.0000 0.5000
Te1 Te 0.0000 0.0000 0.0000
Te2 Te 0.0000 0.0000 0.1998
Te3 Te 0.0000 0.0000 0.4005

***

# GGA-PBE Sn3BiTe2, relaxed
# DOS(E_F)	0.34	states/eV per atom
data_Sn3BiTe2
_chemical_formula_sum 'Sn12 Bi4 Te8'
_cell_length_a 9.096
_cell_length_b 6.313
_cell_length_c 13.526
_cell_angle_alpha 90.00
_cell_angle_beta 90.00
_cell_angle_gamma 90.00
_space_group_name_H-M_alt 'P n m a'
_space_group_IT_number 62
_space_group_name_Hall '-P 2ac 2n'
loop_
_atom_site_label
_atom_site_type_symbol
_atom_site_fract_x
_atom_site_fract_y
_atom_site_fract_z
Sn1 Sn 0.119 0.250 0.085
Sn2 Sn 0.123 0.250 0.747
Sn3 Sn 0.125 0.250 0.419
Bi1 Bi 0.122 0.750 0.084
Te1 Te 0.123 0.750 0.417
Te2 Te 0.125 0.750 0.750

***

# GGA-PBE SnBiTe3, relaxed
# DOS(E_F)	0.31	states/eV per atom
data_SnBiTe3
_chemical_formula_sum 'Sn2 Bi2 Te6'
_cell_length_a 4.407
_cell_length_b 8.367
_cell_length_c 10.669
_cell_angle_alpha 90.00
_cell_angle_beta 90.00
_cell_angle_gamma 90.00
_space_group_name_H-M_alt 'P m m n'
_space_group_IT_number 59
loop_
_space_group_symop_operation_xyz
'x,y,z'
'-x,-y,-z'
'-x+1/2,-y+1/2,z'
'x+1/2,y+1/2,-z'
'x+1/2,-y,-z'
'-x+1/2,y,z'
'-x,y+1/2,-z'
'x,-y+1/2,z'
loop_
_atom_site_label
_atom_site_type_symbol
_atom_site_fract_x
_atom_site_fract_y
_atom_site_fract_z
Sn1 Sn 0.250 0.250 0.144
Bi1 Bi 0.250 0.250 0.543
Te1 Te 0.250 0.505 0.334
Te2 Te 0.250 0.750 0.026

***

# GGA-PBE Sn2BiTe2, relaxed
# DOS(E_F)	0.59	states/eV per atom
data_Sn2BiTe2
_chemical_formula_sum 'Sn4 Bi2 Te4'
_cell_length_a 4.185
_cell_length_b 4.185
_cell_length_c 17.928
_cell_angle_alpha 90.00
_cell_angle_beta 90.00
_cell_angle_gamma 90.00
_space_group_name_H-M_alt 'I 4/m m m'
_space_group_IT_number 139
_space_group_name_Hall '-I 4 2'
loop_
_atom_site_label
_atom_site_type_symbol
_atom_site_fract_x
_atom_site_fract_y
_atom_site_fract_z
Sn1 Sn 0.000 0.500 0.250
Bi1 Bi 0.000 0.000 0.000
Te1 Te 0.000 0.000 0.402

***

# GGA-PBE Sn4BiTe3, relaxed
# DOS(E_F)	0.43	states/eV per atom
data_Sn4BiTe3
_chemical_formula_sum 'Sn8 Bi2 Te6'
_cell_length_a 6.348
_cell_length_b 12.844
_cell_length_c 6.365
_cell_angle_alpha 90.00
_cell_angle_beta 90.00
_cell_angle_gamma 90.00
_space_group_name_H-M_alt 'P m m n'
_space_group_IT_number 59
loop_
_space_group_symop_operation_xyz
'x,y,z'
'-x,-y,-z'
'-x+1/2,-y+1/2,z'
'x+1/2,y+1/2,-z'
'x+1/2,-y,-z'
'-x+1/2,y,z'
'-x,y+1/2,-z'
'x,-y+1/2,z'
loop_
_atom_site_label
_atom_site_type_symbol
_atom_site_fract_x
_atom_site_fract_y
_atom_site_fract_z
Sn1 Sn 0.250 0.002 0.248
Sn2 Sn 0.250 0.250 0.734
Sn3 Sn 0.250 0.750 0.738
Bi1 Bi 0.250 0.250 0.235
Te1 Te 0.250 0.000 0.748
Te2 Te 0.250 0.750 0.249

***

# GGA-PBE Sn2BiTe2, relaxed
# DOS(E_F)	0.54	states/eV per atom
data_Sn2BiTe2
_chemical_formula_sum 'Sn4 Bi2 Te4'
_cell_length_a 8.660
_cell_length_b 8.660
_cell_length_c 4.113
_cell_angle_alpha 90.00
_cell_angle_beta 90.00
_cell_angle_gamma 90.00
_space_group_name_H-M_alt 'P 4/m b m'
_space_group_IT_number 127
_space_group_name_Hall '-P 4 2ab'
loop_
_atom_site_label
_atom_site_type_symbol
_atom_site_fract_x
_atom_site_fract_y
_atom_site_fract_z
Sn1 Sn 0.148 0.352 0.000
Bi1 Bi 0.000 0.000 0.000
Te1 Te 0.168 0.668 0.500

***

# GGA-PBE SnBiTe3, relaxed
# DOS(E_F)	0.64	states/eV per atom
data_SnBiTe3
_chemical_formula_sum 'Sn1 Bi1 Te3'
_cell_length_a 5.878
_cell_length_b 5.878
_cell_length_c 5.878
_cell_angle_alpha 90.00
_cell_angle_beta 90.00
_cell_angle_gamma 90.00
_space_group_name_H-M_alt 'P m -3 m'
_space_group_IT_number 221
_space_group_name_Hall '-P 4 2 3'
loop_
_atom_site_label
_atom_site_type_symbol
_atom_site_fract_x
_atom_site_fract_y
_atom_site_fract_z
Sn1 Sn 0.000 0.000 0.000
Bi1 Bi 0.500 0.500 0.500
Te1 Te 0.000 0.500 0.500

***

# GGA-PBE Sn4BiTe5, relaxed
# DOS(E_F)	0.36	states/eV per atom
data_Sn4BiTe5
_chemical_formula_sum 'Sn8 Bi2 Te10'
_cell_length_a 10.161
_cell_length_b 10.161
_cell_length_c 6.409
_cell_angle_alpha 90.00
_cell_angle_beta 90.00
_cell_angle_gamma 90.00
_space_group_name_H-M_alt 'I 4'
_space_group_IT_number 79
_space_group_name_Hall 'I 4'
loop_
_atom_site_label
_atom_site_type_symbol
_atom_site_fract_x
_atom_site_fract_y
_atom_site_fract_z
Sn1 Sn 0.101 0.302 0.000
Bi1 Bi 0.000 0.000 0.502
Te1 Te 0.000 0.000 0.002
Te2 Te 0.100 0.302 0.507

***

# SnBi2Te4

A relaxed SnBi2Te4 crystal (GGA-PBE, Alexandria).

Structure (CIF):
```
data_SnBi2Te4
_chemical_formula_sum 'Sn3 Bi6 Te12'
_cell_length_a 4.4591
_cell_length_b 4.4591
_cell_length_c 43.5540
_cell_angle_alpha 90.00
_cell_angle_beta 90.00
_cell_angle_gamma 120.00
_space_group_name_H-M_alt 'R -3 m'
_space_group_IT_number 166
_space_group_name_Hall '-R 3 2"'
loop_
_atom_site_label
_atom_site_type_symbol
_atom_site_fract_x
_atom_site_fract_y
_atom_site_fract_z
Sn1 Sn 0.0000 0.0000 0.0000
Bi1 Bi 0.0000 0.0000 0.4237
Te1 Te 0.0000 0.0000 0.1294
Te2 Te 0.0000 0.0000 0.2904
```

***

# GGA-PBE SnBiTe2, relaxed
# DOS(E_F)	0.42	states/eV per atom
data_SnBiTe2
_chemical_formula_sum 'Sn4 Bi4 Te8'
_cell_length_a 6.122
_cell_length_b 6.122
_cell_length_c 17.681
_cell_angle_alpha 90.00
_cell_angle_beta 90.00
_cell_angle_gamma 90.00
_space_group_name_H-M_alt 'I -4 2 d'
_space_group_IT_number 122
_space_group_name_Hall 'I -4 2bw'
loop_
_atom_site_label
_atom_site_type_symbol
_atom_site_fract_x
_atom_site_fract_y
_atom_site_fract_z
Sn1 Sn 0.000 0.000 0.000
Bi1 Bi 0.000 0.000 0.500
Te1 Te 0.247 0.250 0.125

***

# GGA-PBE SnBi3Te, relaxed
# DOS(E_F)	1.10	states/eV per atom
data_SnBi3Te
_chemical_formula_sum 'Sn1 Bi3 Te1'
_cell_length_a 5.868
_cell_length_b 5.868
_cell_length_c 5.868
_cell_angle_alpha 90.00
_cell_angle_beta 90.00
_cell_angle_gamma 90.00
_space_group_name_H-M_alt 'P m -3 m'
_space_group_IT_number 221
_space_group_name_Hall '-P 4 2 3'
loop_
_atom_site_label
_atom_site_type_symbol
_atom_site_fract_x
_atom_site_fract_y
_atom_site_fract_z
Sn1 Sn 0.000 0.000 0.000
Bi1 Bi 0.000 0.500 0.500
Te1 Te 0.500 0.500 0.500

***

Values of calculated density, in order: 6.71, 8.02, 8.35, 6.82, 8.17, 7.74, 4.86, 7.29, 9.23, 6.65, 7.01, 6.00, 7.42, 6.83, 7.55, 5.81, 6.63, 6.95, 5.84, 7.18, all in g/cm³.
Values of spin magnetization, in order: 0.0, 0.0, 0.0, 0.0, 0.0, 0.0, 0.0, 0.0, 0.0, 0.0, 0.0, 0.0, 0.0, 0.0, 0.0, 0.0, 0.0, 0.0, 0.0, 0.0, all in μB per cell.
Values of energy relative to the elements, uncorrected, in order: -0.203, -0.099, -0.010, -0.174, 0.087, 0.140, -0.036, 0.121, 0.116, -0.222, -0.152, -0.082, 0.100, -0.176, 0.016, 0.446, -0.228, -0.260, 0.032, 0.691, all in eV per atom.